[1]
This record from Alexandria describes CeSClO4 after structural relaxation. The functional is PBE.

Output
raw formation energy	-2.0971	eV/atom
symmetry	C2/m (12)

The structure in POSCAR format:
```
CeSClO4
1.0
-3.629 -4.475 2.225
3.573 -4.650 1.937
0.292 1.253 6.526
Ce S Cl O
2 2 2 8
Direct
0.228 0.228 0.856
0.772 0.772 0.144
0.635 0.635 0.738
0.365 0.365 0.262
0.025 0.025 0.237
0.975 0.975 0.763
0.291 0.291 0.481
0.709 0.709 0.519
0.156 0.485 0.151
0.513 0.513 0.239
0.515 0.844 0.849
0.485 0.156 0.151
0.487 0.487 0.761
0.844 0.515 0.849
```



[2]
This record from Alexandria describes NaTa2Ni after structural relaxation. The functional is PBE.

Output
energy of formation from the pure elements	0.839	eV/atom
symmetry	Fm-3m (225)

The structure in POSCAR format:
```
NaTa2Ni
1.0
0.000 3.190 3.190
3.190 0.000 3.190
3.190 3.190 0.000
Ni Na Ta
1 1 2
Direct
0.500 0.500 0.500
0.000 0.000 0.000
0.250 0.250 0.250
0.750 0.750 0.750
```